1.
An optimized crystal structure of TiF3, computed with PBE.

The space group is R-3m (No. 166, hexagonal axes) and the conventional cell measures 5.8210, 5.8210 and 6.0985 Å, with angles of 90.00, 90.00 and 120.00 degrees. The distinct sites, in fractional coordinates, are Ti at (0.0000, 0.0000, 0.0000) and F at (0.0000, 0.5000, 0.5000).

As for the formation energy without anion corrections: -13.281 eV/f.u.

---

2.
An optimized crystal structure of ZnIn2SeO, computed with PBE.

The space group is P4/mmm (No. 123) and the conventional cell measures 5.3778, 5.3778 and 4.6191 Å, with angles of 90.00, 90.00 and 90.00 degrees. The distinct sites, in fractional coordinates, are Zn at (0.0000, 0.0000, 0.0000), In at (0.0000, 0.5000, 0.0000), Se at (0.0000, 0.0000, 0.5000) and O at (0.5000, 0.5000, 0.5000).

As for the formation energy without anion corrections: 2.351 eV/f.u.

---

3.
An optimized crystal structure of AgPHS2, computed with PBE.

The space group is P4/mmm (No. 123) and the conventional cell measures 4.8392, 4.8392 and 3.1067 Å, with angles of 90.00, 90.00 and 90.00 degrees. The distinct sites, in fractional coordinates, are Ag at (0.0000, 0.0000, 0.0000), P at (0.5000, 0.5000, 0.0000), H at (0.5000, 0.5000, 0.5000) and S at (0.0000, 0.5000, 0.5000).

The energy above the most stable polymorph in this dataset comes out at 0 meV/atom.

---

4.
An optimized crystal structure of MgAgMo4, computed with PBE.

The space group is F-43m (No. 216) and the conventional cell measures 7.4914, 7.4914 and 7.4914 Å, with angles of 90.00, 90.00 and 90.00 degrees. The distinct sites, in fractional coordinates, are Mg at (0.0000, 0.0000, 0.0000), Ag at (0.2500, 0.2500, 0.2500) and Mo at (0.1247, 0.1247, 0.6247).

As for the formation enthalpy at 0 K: 488 meV/atom.

---

5.
An optimized crystal structure of K2ZnSe, computed with PBE.

The space group is Amm2 (No. 38) and the conventional cell measures 4.4009, 4.8927 and 12.4101 Å, with angles of 90.00, 90.00 and 90.00 degrees. The distinct sites, in fractional coordinates, are K at (0.0000, 0.0000, 0.0000), K at (0.5000, 0.0000, 0.2897), Zn at (0.5000, 0.0000, 0.5834) and Se at (0.0000, 0.0000, 0.7196).

The energy above the most stable polymorph in this dataset comes out at 0 meV/atom. As for the formation energy without anion corrections: -2.419 eV/f.u.

---

6.
An optimized crystal structure of Os2RhPb, computed with PBE.

The space group is P4/mmm (No. 123) and the conventional cell measures 3.8765, 3.8765 and 4.3866 Å, with angles of 90.00, 90.00 and 90.00 degrees. The distinct sites, in fractional coordinates, are Os at (0.0000, 0.5000, 0.0000), Rh at (0.0000, 0.0000, 0.5000) and Pb at (0.5000, 0.5000, 0.5000).

As for the formation enthalpy at 0 K: 812 meV/atom.

---

7.
An optimized crystal structure of Al4OsRh, computed with PBE.

The space group is F-43m (No. 216) and the conventional cell measures 6.9973, 6.9973 and 6.9973 Å, with angles of 90.00, 90.00 and 90.00 degrees. The distinct sites, in fractional coordinates, are Al at (0.1251, 0.1251, 0.1251), Os at (0.2500, 0.2500, 0.7500) and Rh at (0.0000, 0.0000, 0.5000).

As for the formation enthalpy at 0 K: -5 meV/atom.

---

8.
An optimized crystal structure of K2Li2CeO4, computed with PBE.

The space group is C2/m (No. 12) and the conventional cell measures 12.5631, 3.5441 and 6.5185 Å, with angles of 90.00, 112.38 and 90.00 degrees. The distinct sites, in fractional coordinates, are K at (0.1408, 0.0000, 0.0691), Li at (0.1823, 0.5000, 0.4822), Ce at (0.0000, 0.0000, 0.5000), O at (0.0163, 0.5000, 0.2880) and O at (0.1938, 0.0000, 0.6363).

As for the formation energy without anion corrections: -19.962 eV/f.u.

---

Number 1: E_tot -26.79 eV/f.u.. Number 2: E_tot -12.84 eV/f.u.. Number 3: E_tot -16.26 eV/f.u.. Number 4: E_tot -44.84 eV/f.u.. Number 5: E_tot -9.37 eV/f.u.. Number 6: E_tot -30.27 eV/f.u.. Number 7: E_tot -33.58 eV/f.u.. Number 8: E_tot -51.75 eV/f.u..